Entry 1:
Here is crystalline PdSeS3 at its relaxed geometry from Alexandria. Energies are from GGA-PBE.

abc: 4.6683 4.6683 4.6683
angles: 90.00 90.00 90.00
Atoms (fractional coordinates):
S1 0.0000 0.0000 0.5000
S2 0.5000 0.0000 0.0000
S3 0.0000 0.5000 0.0000
Se1 0.5000 0.5000 0.5000
Pd1 0.0000 0.0000 0.0000

Values from the calculation:
SG	No. 221
E_form (uncorrected)	3.68	eV/f.u.
raw total energy	-3.4764	eV/atom
crystal system	cubic
offset from the most stable computed form	0.748	eV per atom

=====

Entry 2:
Here is crystalline PdSe3S at its relaxed geometry from Alexandria. Energies are from GGA-PBE.

abc: 4.8049 4.8049 4.8049
angles: 90.00 90.00 90.00
Atoms (fractional coordinates):
Se1 0.5000 0.0000 0.0000
Se2 0.0000 0.5000 0.0000
Pd1 0.5000 0.5000 0.5000
S1 0.0000 0.0000 0.0000
Se3 0.0000 0.0000 0.5000

Values from the calculation:
SG	No. 221
E_form (uncorrected)	3.83	eV/f.u.
raw total energy	-3.1886	eV/atom
crystal system	cubic
offset from the most stable computed form	0.794	eV per atom

=====

Entry 3:
Here is crystalline Pd3SeS at its relaxed geometry from Alexandria. Energies are from GGA-PBE.

abc: 4.5398 4.5398 4.5398
angles: 90.00 90.00 90.00
Atoms (fractional coordinates):
Pd1 0.0000 0.5000 0.0000
Pd2 0.5000 0.0000 0.0000
Se1 0.5000 0.5000 0.5000
Pd3 0.0000 0.0000 0.5000
S1 0.0000 0.0000 0.0000

Values from the calculation:
SG	No. 221
E_form (uncorrected)	0.43	eV/f.u.
raw total energy	-4.5525	eV/atom
crystal system	cubic
offset from the most stable computed form	0.014	eV per atom

=====

Entry 4:
Here is crystalline PdSeS3 at its relaxed geometry from Alexandria. Energies are from GGA-PBE.

abc: 4.7047 7.2533 6.7718
angles: 90.00 88.06 89.98
Atoms (fractional coordinates):
S1 0.1835 0.9274 0.2541
Pd1 0.3278 0.6745 0.8084
Se1 0.9695 0.9474 0.7659
Pd2 0.8279 0.6783 0.3084
S2 0.0201 0.5022 0.5861
S3 0.1208 0.4844 0.0817
S4 0.6206 0.8683 0.5816
Se2 0.4698 0.4054 0.2660
S5 0.6837 0.4253 0.7541
S6 0.5199 0.8506 0.0860

Values from the calculation:
SG	No. 7
E_form (uncorrected)	-0.06	eV/f.u.
raw total energy	-4.2243	eV/atom
crystal system	monoclinic
offset from the most stable computed form	0.000	eV per atom

=====

Entry 5:
Here is crystalline Pd2Se3S at its relaxed geometry from Alexandria. Energies are from GGA-PBE.

abc: 3.7577 6.1038 11.1035
angles: 93.66 80.26 72.07
Atoms (fractional coordinates):
Se1 0.6161 0.2448 0.5229
Se2 0.3823 0.2588 0.9767
Se3 0.1089 0.0060 0.7762
Se4 0.6177 0.7412 0.0233
Pd1 0.2498 0.6289 0.8715
Se5 0.8911 0.9940 0.2238
S1 0.8711 0.5267 0.7310
Se6 0.3839 0.7552 0.4771
Pd2 0.7478 0.8769 0.6276
Pd3 0.2522 0.1231 0.3724
Pd4 0.7502 0.3711 0.1285
S2 0.1289 0.4733 0.2690

Values from the calculation:
SG	No. 12
E_form (uncorrected)	-1.41	eV/f.u.
raw total energy	-4.3969	eV/atom
crystal system	monoclinic

=====

Entry 6:
Here is crystalline Pd3SeS at its relaxed geometry from Alexandria. Energies are from GGA-PBE.

abc: 4.6949 4.6949 4.6949
angles: 90.00 90.00 90.00
Atoms (fractional coordinates):
Pd1 0.5000 0.0000 0.0000
Pd2 0.0000 0.5000 0.0000
Pd3 0.0000 0.0000 0.5000
Se1 0.0000 0.0000 0.0000
S1 0.5000 0.5000 0.5000

Values from the calculation:
SG	No. 221
E_form (uncorrected)	2.23	eV/f.u.
raw total energy	-4.1927	eV/atom
crystal system	cubic
offset from the most stable computed form	0.374	eV per atom

=====

Entry 7:
Here is crystalline PdSe2S2 at its relaxed geometry from Alexandria. Energies are from GGA-PBE.

abc: 3.9510 4.9186 7.0984
angles: 119.79 111.98 91.76
Atoms (fractional coordinates):
Pd1 0.0000 0.0000 0.0000
Se1 0.4139 0.2156 0.8605
Se2 0.5861 0.7844 0.1395
S1 0.2640 0.5117 0.3885
S2 0.7360 0.4883 0.6115

Values from the calculation:
SG	No. 2
E_form (uncorrected)	-0.41	eV/f.u.
raw total energy	-4.1657	eV/atom
crystal system	triclinic

=====

Entry 8:
Here is crystalline Sm6PdSe3S2 at its relaxed geometry from Alexandria. Energies are from GGA-PBE.

abc: 4.0561 8.3621 9.2710
angles: 103.37 102.64 90.00
Atoms (fractional coordinates):
Sm1 0.0040 0.2437 0.0080
S1 0.8322 0.6654 0.6644
Sm2 0.6680 0.0967 0.3360
Sm3 0.6705 0.5725 0.3410
Pd1 0.5000 0.0000 0.0000
Sm4 0.3295 0.4275 0.6590
Se1 0.8340 0.1681 0.6680
Sm5 0.3320 0.9033 0.6640
Se2 0.1660 0.8319 0.3320
Sm6 0.9960 0.7563 0.9920
Se3 0.5000 0.5000 0.0000
S2 0.1678 0.3346 0.3356

Values from the calculation:
SG	No. 12
E_form (uncorrected)	-20.51	eV/f.u.
raw total energy	-6.0604	eV/atom
crystal system	monoclinic

=====

Entry 9:
Here is crystalline Sm8PdSe4S3 at its relaxed geometry from Alexandria. Energies are from GGA-PBE.

abc: 8.2026 8.2751 8.2028
angles: 119.71 120.00 90.00
Atoms (fractional coordinates):
Sm1 0.7429 0.7288 0.4859
Se1 0.0000 0.0000 0.0000
Pd1 0.0000 0.5000 0.0000
Sm2 0.2471 0.7360 0.4942
Sm3 0.2471 0.7360 0.9890
Sm4 0.7529 0.2640 0.0110
Sm5 0.7529 0.2640 0.5058
S1 0.0000 0.5000 0.5000
Sm6 0.2571 0.2712 0.5141
Se2 0.5000 0.0000 0.0000
Se3 0.0000 0.0000 0.5000
Sm7 0.2581 0.2640 0.0110
S2 0.5000 0.5000 0.5000
Se4 0.5000 0.0000 0.5000
S3 0.5000 0.5000 0.0000
Sm8 0.7419 0.7360 0.9890

Values from the calculation:
SG	No. 166
E_form (uncorrected)	-28.30	eV/f.u.
raw total energy	-6.0976	eV/atom
crystal system	trigonal

=====

Entry 10:
Here is crystalline Sm4PdSeS2 at its relaxed geometry from Alexandria. Energies are from GGA-PBE.

abc: 4.0294 7.1498 7.1273
angles: 71.13 90.00 90.00
Atoms (fractional coordinates):
Sm1 0.0000 0.7580 0.7503
Sm2 0.5000 0.2351 0.7547
S1 0.0000 0.0000 0.0000
Pd1 0.5000 0.5000 0.0000
Sm3 0.5000 0.7649 0.2453
Sm4 0.0000 0.2420 0.2497
Se1 0.0000 0.5000 0.5000
S2 0.5000 0.0000 0.5000

Values from the calculation:
SG	No. 10
E_form (uncorrected)	-13.08	eV/f.u.
raw total energy	-6.1106	eV/atom
crystal system	monoclinic

=====

Entry 11:
Here is crystalline SrPdSeS2 at its relaxed geometry from Alexandria. Energies are from GGA-PBE.

abc: 4.7761 5.0845 4.7761
angles: 90.00 90.00 90.00
Atoms (fractional coordinates):
Sr1 0.5000 0.5000 0.5000
S1 0.5000 0.0000 0.0000
S2 0.0000 0.0000 0.5000
Pd1 0.0000 0.0000 0.0000
Se1 0.0000 0.5000 0.0000

Values from the calculation:
SG	No. 123
E_form (uncorrected)	-3.19	eV/f.u.
raw total energy	-4.3605	eV/atom
crystal system	tetragonal

=====

Entry 12:
Here is crystalline Tb4PdSeS2 at its relaxed geometry from Alexandria. Energies are from GGA-PBE.

abc: 3.9448 7.0322 6.9839
angles: 71.25 90.00 90.00
Atoms (fractional coordinates):
S1 0.0000 0.0000 0.0000
Tb1 0.0000 0.2421 0.2487
Tb2 0.5000 0.2351 0.7558
Tb3 0.5000 0.7649 0.2442
Se1 0.0000 0.5000 0.5000
S2 0.5000 0.0000 0.5000
Pd1 0.5000 0.5000 0.0000
Tb4 0.0000 0.7579 0.7513

Values from the calculation:
SG	No. 10
E_form (uncorrected)	-13.03	eV/f.u.
raw total energy	-6.0600	eV/atom
crystal system	monoclinic

=====

Question: Which formula does entry 10 have?
Answer: Sm4PdSeS2